VASP calculation (PBE-GGA) on a relaxed FeCo2Br crystal.

Lattice parameters (Å, degrees): 5.159 8.379 2.909 90.00 118.85 90.00
Atoms (fractional coordinates):
Fe 0.000 0.000 0.000
Fe 0.500 0.500 0.000
Co 0.250 0.250 0.500
Co 0.250 0.750 0.500
Co 0.750 0.250 0.500
Co 0.750 0.750 0.500
Br 0.000 0.500 0.000
Br 0.500 0.000 0.000

- raw total energy (eV per atom) = -5.35
- SG = C2/m
- density (g cm⁻³) = 7.65

***

VASP calculation (PBE-GGA) on a relaxed Fe2CoBr crystal.

Lattice parameters (Å, degrees): 3.158 3.158 6.172 90.00 90.00 90.00
Atoms (fractional coordinates):
Fe 0.000 0.000 0.000
Fe 0.500 0.500 0.203
Co 0.500 0.500 0.826
Br 0.000 0.000 0.486

- raw total energy (eV per atom) = -6.02
- SG = P4mm
- offset from the most stable computed form (meV per atom) = 69
- density (g cm⁻³) = 6.76

***

VASP calculation (PBE-GGA) on a relaxed Fe2CoBr crystal.

Lattice parameters (Å, degrees): 3.198 3.074 6.550 90.00 90.30 90.00
Atoms (fractional coordinates):
Fe 0.000 0.000 0.000
Fe 0.498 0.500 0.810
Co 0.501 0.500 0.172
Br 0.554 0.000 0.493

- raw total energy (eV per atom) = -6.08
- SG = Pm
- offset from the most stable computed form (meV per atom) = 8
- density (g cm⁻³) = 6.46

***

VASP calculation (PBE-GGA) on a relaxed Fe3CoBr crystal.

Lattice parameters (Å, degrees): 4.309 4.309 4.309 90.00 90.00 90.00
Atoms (fractional coordinates):
Fe 0.000 0.000 0.500
Fe 0.000 0.500 0.000
Fe 0.500 0.000 0.000
Co 0.500 0.500 0.500
Br 0.000 0.000 0.000

- raw total energy (eV per atom) = -5.45
- SG = Pm-3m
- offset from the most stable computed form (meV per atom) = 407
- density (g cm⁻³) = 6.36

***

VASP calculation (PBE-GGA) on a relaxed Fe2CoBr crystal.

Lattice parameters (Å, degrees): 3.114 3.626 11.730 90.00 90.00 90.00
Atoms (fractional coordinates):
Fe 0.000 0.000 0.000
Fe 0.000 0.500 0.136
Fe 0.500 0.000 0.636
Fe 0.500 0.500 0.500
Co 0.000 0.000 0.470
Co 0.500 0.500 0.970
Br 0.000 0.500 0.772
Br 0.500 0.000 0.272

- raw total energy (eV per atom) = -5.93
- SG = Imm2
- offset from the most stable computed form (meV per atom) = 158
- density (g cm⁻³) = 6.28

***

VASP calculation (PBE-GGA) on a relaxed Fe2CoBr crystal.

Lattice parameters (Å, degrees): 6.033 6.033 6.033 90.00 90.00 90.00
Atoms (fractional coordinates):
Fe 0.250 0.250 0.250
Fe 0.250 0.250 0.750
Fe 0.250 0.750 0.250
Fe 0.250 0.750 0.750
Fe 0.750 0.250 0.250
Fe 0.750 0.250 0.750
Fe 0.750 0.750 0.250
Fe 0.750 0.750 0.750
Co 0.000 0.000 0.000
Co 0.000 0.500 0.500
Co 0.500 0.000 0.500
Co 0.500 0.500 0.000
Br 0.000 0.000 0.500
Br 0.000 0.500 0.000
Br 0.500 0.000 0.000
Br 0.500 0.500 0.500

- raw total energy (eV per atom) = -5.65
- SG = Fm-3m
- offset from the most stable computed form (meV per atom) = 438
- density (g cm⁻³) = 7.58